1.
DFT (PBE-GGA) results for crystalline Sm4Al3Cu at its relaxed geometry.

The structure in CIF format:
```
data_Sm4Al3Cu
_symmetry_space_group_name_H-M 'P 4/m m m'
_symmetry_Int_Tables_number 123
_symmetry_space_group_name_Hall '-P 4 2'
_cell_length_a 3.518
_cell_length_b 3.518
_cell_length_c 15.684
_cell_angle_alpha 90.00
_cell_angle_beta 90.00
_cell_angle_gamma 90.00
loop_
_atom_site_label
_atom_site_type_symbol
_atom_site_fract_x
_atom_site_fract_y
_atom_site_fract_z
Sm1 Sm 0.000 0.000 0.116
Sm2 Sm 0.000 0.000 0.371
Al1 Al 0.500 0.500 0.241
Al2 Al 0.500 0.500 0.500
Cu1 Cu 0.500 0.500 0.000
```

Values from the calculation:
**V**: 194.1 Å³/cell

***

2.
DFT (PBE-GGA) results for crystalline Sm4Al3Cu at its relaxed geometry.

The structure in CIF format:
```
data_Sm4Al3Cu
_symmetry_space_group_name_H-M 'P m m 2'
_symmetry_Int_Tables_number 25
_cell_length_a 3.707
_cell_length_b 4.524
_cell_length_c 11.934
_cell_angle_alpha 90.00
_cell_angle_beta 90.00
_cell_angle_gamma 90.00
loop_
_symmetry_equiv_pos_as_xyz
'x,y,z'
'-x,-y,z'
'-x,y,z'
'x,-y,z'
loop_
_atom_site_label
_atom_site_type_symbol
_atom_site_fract_x
_atom_site_fract_y
_atom_site_fract_z
Sm1 Sm 0.000 0.000 0.000
Sm2 Sm 0.000 0.500 0.294
Sm3 Sm 0.500 0.000 0.485
Sm4 Sm 0.500 0.500 0.801
Al1 Al 0.000 0.000 0.709
Al2 Al 0.000 0.500 0.579
Al3 Al 0.500 0.500 0.084
Cu1 Cu 0.500 0.000 0.207
```

Values from the calculation:
**V**: 200.1 Å³/cell

***

Energies, relative to the best one, in kJ/mol of atoms: 1 0.0; 2 1.7.

***

1.
DFT (PBE-GGA) results for crystalline AlCu2Sn at its relaxed geometry.

The structure in CIF format:
```
data_AlCu2Sn
_symmetry_space_group_name_H-M 'I -4 2 d'
_symmetry_Int_Tables_number 122
_symmetry_space_group_name_Hall 'I -4 2bw'
_cell_length_a 7.103
_cell_length_b 7.103
_cell_length_c 5.732
_cell_angle_alpha 90.00
_cell_angle_beta 90.00
_cell_angle_gamma 90.00
loop_
_atom_site_label
_atom_site_type_symbol
_atom_site_fract_x
_atom_site_fract_y
_atom_site_fract_z
Al1 Al 0.000 0.000 0.000
Cu1 Cu 0.224 0.250 0.125
Sn1 Sn 0.000 0.000 0.500
```

Values from the calculation:
**V**: 289.1 Å³/cell

***

2.
DFT (PBE-GGA) results for crystalline AlCu2Sn at its relaxed geometry.

The structure in CIF format:
```
data_AlCu2Sn
_symmetry_space_group_name_H-M 'F m -3 m'
_symmetry_Int_Tables_number 225
_symmetry_space_group_name_Hall '-F 4 2 3'
_cell_length_a 6.405
_cell_length_b 6.405
_cell_length_c 6.405
_cell_angle_alpha 90.00
_cell_angle_beta 90.00
_cell_angle_gamma 90.00
loop_
_atom_site_label
_atom_site_type_symbol
_atom_site_fract_x
_atom_site_fract_y
_atom_site_fract_z
Al1 Al 0.000 0.000 0.000
Cu1 Cu 0.250 0.250 0.250
Sn1 Sn 0.000 0.000 0.500
```

Values from the calculation:
**V**: 262.8 Å³/cell

***

Energies, relative to the best one, in kJ/mol of atoms: 1 12.6; 2 0.0.